VASP calculation (GGA-PBE) on a relaxed structure of Te2PRu.

Results
The volume is 88 Å³ per cell. As for the total energy: -20.21 eV per cell. The value obtained for the formation energy from raw total energies is 0.19 eV/atom.

Unit cell a=3.359 b=3.359 c=7.834 alpha=90.00 beta=90.00 gamma=90.00
Space group P4mm (No. 99)
Symmetry-distinct sites (fractional):
Te 0.000 0.000 0.000 x1
Te 0.500 0.500 0.418 x1
P 0.000 0.000 0.660 x1
Ru 0.500 0.500 0.764 x1

***

VASP calculation (GGA-PBE) on a relaxed structure of TePRu2.

Results
The volume is 127 Å³ per cell. As for the offset from the most stable computed form: 615 meV/atom. As for the total energy: -50.86 eV per cell. The value obtained for the formation energy from raw total energies is 0.42 eV/atom.

Unit cell a=3.738 b=3.738 c=9.095 alpha=90.00 beta=90.00 gamma=90.00
Space group I-4m2 (No. 119)
Symmetry-distinct sites (fractional):
Te 0.000 0.000 0.000 x2
P 0.000 0.500 0.750 x2
Ru 0.000 0.000 0.500 x2
Ru 0.000 0.500 0.250 x2

***

Question: Which value of formation energy from raw total energies does entry 2 give?
Answer: 0.42 eV/atom

***

Question: Look up the formation energy from raw total energies of the second one.
Answer: 0.42 eV/atom

***

Question: formation energy from raw total energies of number 1 (Te2PRu)?
Answer: 0.19 eV/atom

***

Question: Among the records above, which one has the highest formation energy from raw total energies?
Answer: TePRu2